(1)
{
  "formula": "Pr8As3S4Cl",
  "functional": "GGA-PBE",
  "state": "optimized geometry",
  "space_group": "R-3m (166)",
  "raw_formation_energy_ev_per_fu": -28.607,
  "lattice_angstrom": [[4.207, 2.429, 6.838], [-4.207, 2.429, 6.838], [0.000, -4.857, 6.838]],
  "species": ["Pr", "Pr", "Pr", "Pr", "Pr", "Pr", "Pr", "Pr", "As", "As", "As", "S", "S", "S", "S", "Cl"],
  "fractional_positions": [[0.249, 0.249, 0.249], [0.261, 0.737, 0.737], [0.263, 0.263, 0.739], [0.263, 0.739, 0.263], [0.737, 0.261, 0.737], [0.737, 0.737, 0.261], [0.739, 0.263, 0.263], [0.751, 0.751, 0.751], [0.000, 0.500, 0.500], [0.500, 0.000, 0.500], [0.500, 0.500, 0.000], [0.000, 0.000, 0.500], [0.000, 0.500, 0.000], [0.500, 0.000, 0.000], [0.500, 0.500, 0.500], [0.000, 0.000, 0.000]]
}

***

(2)
{
  "formula": "MgBe2Pt2",
  "functional": "GGA-PBE",
  "state": "optimized geometry",
  "space_group": "I4/mmm (139)",
  "ef_ev_per_fu": -3.12,
  "polymorph_energy_ev_per_atom": 0.147,
  "lattice_angstrom": [[-1.740, 1.740, 5.795], [1.740, -1.740, 5.795], [1.740, 1.740, -5.795]],
  "species": ["Mg", "Be", "Be", "Pt", "Pt"],
  "fractional_positions": [[0.000, 0.000, 0.000], [0.250, 0.750, 0.500], [0.750, 0.250, 0.500], [0.381, 0.381, 0.000], [0.619, 0.619, 0.000]]
}

***

(3)
{
  "formula": "LiCeZr",
  "functional": "GGA-PBE",
  "state": "optimized geometry",
  "space_group": "P4/nmm (129)",
  "ef_ev_per_fu": 0.29,
  "polymorph_energy_ev_per_atom": 0.000,
  "lattice_angstrom": [[3.089, 0.000, 0.000], [0.000, 3.089, 0.000], [0.000, 0.000, 14.937]],
  "species": ["Li", "Li", "Ce", "Ce", "Zr", "Zr"],
  "fractional_positions": [[0.250, 0.250, 0.069], [0.750, 0.750, 0.931], [0.250, 0.250, 0.750], [0.750, 0.750, 0.250], [0.250, 0.250, 0.418], [0.750, 0.750, 0.582]]
}

***

(4)
{
  "formula": "YTl",
  "functional": "GGA-PBE",
  "state": "optimized geometry",
  "space_group": "P4_2/mnm (136)",
  "ef_ev_per_fu": -0.22,
  "lattice_angstrom": [[6.207, 0.000, 0.000], [0.000, 6.207, 0.000], [0.000, 0.000, 6.315]],
  "species": ["Y", "Y", "Y", "Y", "Tl", "Tl", "Tl", "Tl"],
  "fractional_positions": [[0.209, 0.209, 0.000], [0.291, 0.709, 0.500], [0.709, 0.291, 0.500], [0.791, 0.791, 0.000], [0.202, 0.202, 0.500], [0.298, 0.702, 0.000], [0.702, 0.298, 0.000], [0.798, 0.798, 0.500]]
}

***

Please write out number 2 again, unchanged.
{
  "formula": "MgBe2Pt2",
  "functional": "GGA-PBE",
  "state": "optimized geometry",
  "space_group": "I4/mmm (139)",
  "ef_ev_per_fu": -3.12,
  "polymorph_energy_ev_per_atom": 0.147,
  "lattice_angstrom": [[-1.740, 1.740, 5.795], [1.740, -1.740, 5.795], [1.740, 1.740, -5.795]],
  "species": ["Mg", "Be", "Be", "Pt", "Pt"],
  "fractional_positions": [[0.000, 0.000, 0.000], [0.250, 0.750, 0.500], [0.750, 0.250, 0.500], [0.381, 0.381, 0.000], [0.619, 0.619, 0.000]]
}

***

Please write out number 1 again, unchanged.
{
  "formula": "Pr8As3S4Cl",
  "functional": "GGA-PBE",
  "state": "optimized geometry",
  "space_group": "R-3m (166)",
  "raw_formation_energy_ev_per_fu": -28.607,
  "lattice_angstrom": [[4.207, 2.429, 6.838], [-4.207, 2.429, 6.838], [0.000, -4.857, 6.838]],
  "species": ["Pr", "Pr", "Pr", "Pr", "Pr", "Pr", "Pr", "Pr", "As", "As", "As", "S", "S", "S", "S", "Cl"],
  "fractional_positions": [[0.249, 0.249, 0.249], [0.261, 0.737, 0.737], [0.263, 0.263, 0.739], [0.263, 0.739, 0.263], [0.737, 0.261, 0.737], [0.737, 0.737, 0.261], [0.739, 0.263, 0.263], [0.751, 0.751, 0.751], [0.000, 0.500, 0.500], [0.500, 0.000, 0.500], [0.500, 0.500, 0.000], [0.000, 0.000, 0.500], [0.000, 0.500, 0.000], [0.500, 0.000, 0.000], [0.500, 0.500, 0.500], [0.000, 0.000, 0.000]]
}